The following is a DFT calculation (meta-GGA SCAN) of TcSbTe2W at its PBEsol-relaxed geometry.

The structure belongs to space group P4/mmm (No. 123); the cell edges are 5.189, 5.189 and 5.230 Å and the angles 90.00°, 90.00° and 90.00°. The asymmetric unit holds Tc at (0.000, 0.000, 0.000), Sb at (0.500, 0.500, 0.000), Te at (0.000, 0.500, 0.500) and W at (0.500, 0.500, 0.500).

Its electronic total energy is -41.88 eV/atom. The spin magnetization comes out at 4.4 μB/f.u. The calculation puts the uncorrected formation energy at 1424.8 meV/atom. The calculation puts the volume at 140.8 Å³ per cell.